[1]
DFT (SCAN) results for a PBEsol-optimized structure of ZrBeH2Pt.

Cell lengths 3.579, 3.579, 5.237 Å; angles 90.00, 90.00, 90.00 degrees
Sites, in units of the cell vectors:
H 0.000 0.500 0.000
H 0.500 0.000 0.000
Pt 0.000 0.000 0.000
Be 0.500 0.500 0.500
Zr 0.000 0.000 0.500

Calculated values
Uncorrected energy   -22.02 eV per atom
SG   P4/mmm, No. 123
Size of the total moment   0.000 μB per cell

---

[2]
DFT (SCAN) results for a PBEsol-optimized structure of LiCrTc2.

Cell lengths 2.506, 4.217, 4.879 Å; angles 90.00, 100.18, 90.00 degrees
Sites, in units of the cell vectors:
Tc 0.746 0.500 0.260
Tc 0.967 0.000 0.985
Cr 0.510 0.000 0.505
Li 0.277 0.500 0.750

Calculated values
SG   Pm, No. 6
ΔE_f   0.21 eV per atom
E above lowest polymorph   0.0 meV per atom
Size of the total moment   0.001 μB per cell